No. 1
ZnBPt: optimized geometry, PBE.

Lattice parameters (Å, degrees): 3.940 3.940 3.940 60.00 60.00 60.00
Positions (direct):
Zn: 0.750 0.750 0.750
B: 0.250 0.250 0.250
Pt: 0.000 0.000 0.000

Summary:
* VASP energy: -4.28 eV/atom

---

No. 2
ZnB2Pt: optimized geometry, PBE.

Lattice parameters (Å, degrees): 4.029 4.029 4.029 60.00 60.00 60.00
Positions (direct):
B: 0.250 0.250 0.250
Zn: 0.500 0.500 0.500
B: 0.000 0.000 0.000
Pt: 0.750 0.750 0.750

Summary:
* VASP energy: -4.03 eV/atom

---

No. 3
ZnBPt2: optimized geometry, PBE.

Lattice parameters (Å, degrees): 4.265 4.265 4.265 60.00 60.00 60.00
Positions (direct):
B: 0.500 0.500 0.500
Zn: 0.250 0.250 0.250
Pt: 0.000 0.000 0.000
Pt: 0.750 0.750 0.750

Summary:
* VASP energy: -4.51 eV/atom